Compound: AcGaAu6
Source: Alexandria
Functional: PBE
Structure: relaxed

Cell: 5.908 5.908 5.908 Å, 72.53 72.53 72.53°
Positions (direct):
Au 0.465 0.864 0.862
Au 0.138 0.535 0.136
Au 0.535 0.136 0.138
Au 0.864 0.862 0.465
Au 0.862 0.465 0.864
Au 0.136 0.138 0.535
Ga 0.000 0.000 0.000
Ac 0.500 0.500 0.500

Its formation energy is -0.38 eV per atom. The value obtained for the density of states at the Fermi level is 3.37 states/eV/f.u. As for the volume: 22.81 Å³ per atom. The total moment is 0.00 μB per atom. The calculation puts the energy at -29.9 eV per cell.